This record from OQMD describes a geometry-optimized LiZnBi structure. The functional is PBE.

The structure in CIF format:
```
data_LiZnBi
_space_group_name_H-M_alt 'P 1'
_space_group_IT_number 1
_space_group_name_Hall 'P 1'
_cell_length_a 7.271
_cell_length_b 7.271
_cell_length_c 4.447
_cell_angle_alpha 90.00
_cell_angle_beta 90.00
_cell_angle_gamma 120.00
loop_
_atom_site_label
_atom_site_fract_x
_atom_site_fract_y
_atom_site_fract_z
Bi1 0.000 0.000 0.500
Li1 0.000 0.568 0.500
Bi2 0.333 0.667 0.000
Zn1 0.000 0.253 0.000
Li2 0.568 0.000 0.500
Li3 0.432 0.432 0.500
Bi3 0.667 0.333 0.000
Zn2 0.253 0.000 0.000
Zn3 0.747 0.747 0.000
```

Values from the calculation:
- Theoretical density: 6.884 g/cm³
- Uncorrected energy: -2.59 eV per atom
- Symmetry: No. 189